Record 1
Below is an optimized crystal structure of Sm12Y7Pu, with properties calculated at the PBE-GGA level.

Geometry as CIF:
```
data_Sm12Y7Pu
_cell_length_a 11.478
_cell_length_b 11.478
_cell_length_c 11.478
_cell_angle_alpha 90.00
_cell_angle_beta 90.00
_cell_angle_gamma 90.00
_space_group_name_H-M_alt 'I m -3 m'
_space_group_IT_number 229
_space_group_name_Hall '-I 4 2 3'
loop_
_atom_site_label
_atom_site_fract_x
_atom_site_fract_y
_atom_site_fract_z
_atom_site_occupancy
Sm1 0.000 0.248 0.248 1
Y1 0.000 0.000 0.500 1
Y2 0.250 0.250 0.250 1
Pu1 0.000 0.000 0.000 1
```

* total moment: 0.3393 μB per atom
* energy: -5.0831 eV per atom
* DOS(E_F): 77.72 states/eV per cell
* energy of formation: 0.727 eV per atom

=====

Record 2
Below is an optimized crystal structure of Sm5Y2Pu, with properties calculated at the PBE-GGA level.

Geometry as CIF:
```
data_Sm5Y2Pu
_cell_length_a 6.825
_cell_length_b 8.519
_cell_length_c 9.613
_cell_angle_alpha 76.04
_cell_angle_beta 84.07
_cell_angle_gamma 76.46
_space_group_name_H-M_alt 'P 1'
_space_group_IT_number 1
loop_
_space_group_symop_operation_xyz
'x,y,z'
loop_
_atom_site_label
_atom_site_fract_x
_atom_site_fract_y
_atom_site_fract_z
_atom_site_occupancy
Sm1 0.000 0.000 0.000 1
Sm2 0.017 0.491 0.386 1
Sm3 0.126 0.883 0.372 1
Sm4 0.149 0.362 0.771 1
Sm5 0.248 0.756 0.751 1
Sm6 0.499 0.511 0.495 1
Sm7 0.526 0.983 0.897 1
Sm8 0.632 0.384 0.872 1
Sm9 0.754 0.254 0.246 1
Sm10 0.774 0.736 0.644 1
Y1 0.275 0.235 0.143 1
Y2 0.381 0.631 0.123 1
Y3 0.401 0.110 0.514 1
Y4 0.877 0.135 0.621 1
Pu1 0.650 0.859 0.267 1
Pu2 0.896 0.611 0.021 1
```

* total moment: 0.8187 μB per atom
* energy: -6.2905 eV per atom
* DOS(E_F): 35.11 states/eV per cell
* energy of formation: 0.067 eV per atom

=====

Record 3
Below is an optimized crystal structure of Sm4PuZn5, with properties calculated at the PBE-GGA level.

Geometry as CIF:
```
data_Sm4PuZn5
_cell_length_a 3.628
_cell_length_b 3.628
_cell_length_c 18.129
_cell_angle_alpha 90.00
_cell_angle_beta 90.00
_cell_angle_gamma 90.00
_space_group_name_H-M_alt 'P 4/m m m'
_space_group_IT_number 123
_space_group_name_Hall '-P 4 2'
loop_
_atom_site_label
_atom_site_fract_x
_atom_site_fract_y
_atom_site_fract_z
_atom_site_occupancy
Sm1 0.000 0.000 0.101 1
Sm2 0.000 0.000 0.302 1
Pu1 0.000 0.000 0.500 1
Zn1 0.500 0.500 0.000 1
Zn2 0.500 0.500 0.201 1
Zn3 0.500 0.500 0.401 1
```

* total moment: 0.6478 μB per atom
* energy: -4.2163 eV per atom
* DOS(E_F): 14.08 states/eV per cell
* energy of formation: -0.259 eV per atom

=====

Record 4
Below is an optimized crystal structure of Sm3PuZn4, with properties calculated at the PBE-GGA level.

Geometry as CIF:
```
data_Sm3PuZn4
_cell_length_a 3.624
_cell_length_b 3.624
_cell_length_c 14.492
_cell_angle_alpha 90.00
_cell_angle_beta 90.00
_cell_angle_gamma 90.00
_space_group_name_H-M_alt 'P 4/m m m'
_space_group_IT_number 123
_space_group_name_Hall '-P 4 2'
loop_
_atom_site_label
_atom_site_fract_x
_atom_site_fract_y
_atom_site_fract_z
_atom_site_occupancy
Sm1 0.000 0.000 0.000 1
Sm2 0.000 0.000 0.252 1
Pu1 0.000 0.000 0.500 1
Zn1 0.500 0.500 0.126 1
Zn2 0.500 0.500 0.376 1
```

* total moment: 0.8089 μB per atom
* energy: -4.4408 eV per atom
* DOS(E_F): 11.81 states/eV per cell
* energy of formation: -0.243 eV per atom

=====

Record 5
Below is an optimized crystal structure of SmPu2Zn9, with properties calculated at the PBE-GGA level.

Geometry as CIF:
```
data_SmPu2Zn9
_cell_length_a 5.3848
_cell_length_b 5.3848
_cell_length_c 26.3943
_cell_angle_alpha 90.00
_cell_angle_beta 90.00
_cell_angle_gamma 120.00
_space_group_name_H-M_alt 'R -3 m'
_space_group_IT_number 166
_space_group_name_Hall '-R 3 2"'
loop_
_atom_site_label
_atom_site_fract_x
_atom_site_fract_y
_atom_site_fract_z
_atom_site_occupancy
Sm1 0.0000 0.0000 0.0000 1
Pu1 0.0000 0.0000 0.1483 1
Zn1 0.0000 0.0000 0.3354 1
Zn2 0.0000 0.0000 0.5000 1
Zn3 0.0035 0.5018 0.9184 1
```

* total moment: 0.9250 μB per atom
* energy: -3.9496 eV per atom
* DOS(E_F): 42.21 states/eV per cell
* energy of formation: -0.212 eV per atom

=====

Record 6
Below is an optimized crystal structure of SmPu2Zn6, with properties calculated at the PBE-GGA level.

Geometry as CIF:
```
data_SmPu2Zn6
_cell_length_a 8.1229
_cell_length_b 8.1229
_cell_length_c 3.0993
_cell_angle_alpha 90.00
_cell_angle_beta 90.00
_cell_angle_gamma 120.00
_space_group_name_H-M_alt 'P 6/m m m'
_space_group_IT_number 191
_space_group_name_Hall '-P 6 2'
loop_
_atom_site_label
_atom_site_fract_x
_atom_site_fract_y
_atom_site_fract_z
_atom_site_occupancy
Sm1 0.0000 0.0000 0.0000 1
Pu1 0.3333 0.6667 0.0000 1
Zn1 0.0000 0.3345 0.5000 1
```

* total moment: 1.2501 μB per atom
* energy: -4.7824 eV per atom
* DOS(E_F): 15.80 states/eV per cell
* energy of formation: -0.224 eV per atom